[1]
## Th2TcAg (GGA-PBE)

Data for an optimized crystal structure of Th2TcAg.

Its calculated volume is 109.80 Å³/f.u.

The space group is R-3m (No. 166, hexagonal axes) and the conventional cell measures 4.1042, 4.1042 and 22.5807 Å, with angles of 90.00, 90.00 and 120.00 degrees. The asymmetric unit holds Th at (0.0000, 0.0000, 0.2346), Tc at (0.0000, 0.0000, 0.5000) and Ag at (0.0000, 0.0000, 0.0000).


[2]
## Th3TcAg (GGA-PBE)

Data for an optimized crystal structure of Th3TcAg.

Its calculated volume is 134.32 Å³/f.u.

The space group is Fmmm (No. 69) and the conventional cell measures 6.571, 10.200 and 16.033 Å, with angles of 90.00, 90.00 and 90.00 degrees. The asymmetric unit holds Th at (0.000, 0.000, 0.196), Th at (0.000, 0.181, 0.392), Tc at (0.250, 0.250, 0.250) and Ag at (0.203, 0.000, 0.000).


How do the records compare in energy relative to the elements? In the order shown, they have -34.0; -103.9 meV/atom.
How do the records compare in magnetic moment? In the order shown, they have 0.00; 0.00 μB per formula unit.
How do the records compare in uncorrected energy? In the order shown, they have -28.193; -35.996 eV per formula unit.